# Th8PSe4S3

An optimized crystal structure of Th8PSe4S3 (GGA-PBE, Alexandria).

Cell: 8.1946 8.1946 20.6942 Å, 90.00 90.00 120.00°
Space group R-3m (No. 166, hexagonal axes)
Symmetry-distinct sites (fractional):
Th 0.0000 0.0000 0.2438
Th 0.0000 0.5000 0.2438
P 0.0000 0.0000 0.5000
Se 0.0000 0.0000 0.0000
Se 0.0000 0.5000 0.0000
S 0.0000 0.5000 0.5000

Calculated values
D(E_F): 42.37 states/eV per cell
E_form (uncorrected): -1668.8 meV per atom
total DFT energy (no corrections): -0.5411 Ry/atom
volume: 1203 Å³ per cell